Computed, not measured: a relaxed structure of GeMoOF2 at the PBE with a Hubbard U level of DFT.

a b c (Å): 4.3808 4.3808 3.8218
angles (deg): 90.00 90.00 90.00
Last column: nearest neighbours and their distance in Å.
Space group P4/mmm (No. 123)
Symmetry-distinct sites (fractional):
Ge 0.0000 0.0000 0.0000 (multiplicity 1)  2 O 1.91
Mo 0.5000 0.5000 0.5000 (multiplicity 1)  8 F 2.91, 4 O 3.10
O 0.0000 0.0000 0.5000 (multiplicity 1)  2 Ge 1.91
F 0.0000 0.5000 0.0000 (multiplicity 2)  2 Ge 2.19

## Properties
DOS at the Fermi energy: 1.0 states/eV per cell
Distance to the lowest polymorph of the same formula: 24.3 kJ/mol of atoms
E: -0.37360 Ry/atom